Compound: LiYAu
Source: OQMD
Functional: PBE
Structure: relaxed

Cell: 4.7225 4.7225 4.7225 Å, 60.00 60.00 60.00°
With the nearest neighbours (Å) after each atom.
Fractional coordinates of all 3 atoms:
Au  0.0000  0.0000  0.0000  4 Y 2.89, 4 Li 2.89
Li  0.2500  0.2500  0.2500  4 Au 2.89
Y  0.7500  0.7500  0.7500  4 Au 2.89

Calculated values
SG = F-43m, No. 216
Calculated density = 6.53 g/cm³
Uncorrected energy = -4.325 eV/atom
E above lowest polymorph = 0.156 eV/atom